Entry 1:
Compound: CoTeOs2
Source: the Alexandria database
Functional: PBE
Structure: relaxed

POSCAR file:
```
CoTeOs2
1.0
3.937 0.000 0.000
0.000 3.937 0.000
0.000 0.000 3.834
Co Te Os
1 1 2
Direct
0.000 0.000 0.000 Co
0.500 0.500 0.000 Te
0.000 0.500 0.500 Os
0.500 0.000 0.500 Os
```

Summary:
E_form (uncorrected) in meV per atom: 708

***

Entry 2:
Compound: Tm3ScPd3
Source: the Alexandria database
Functional: PBE
Structure: relaxed

POSCAR file:
```
Tm3ScPd3
1.0
4.489 -5.069 0.000
4.489 5.069 0.000
-0.354 0.000 6.946
Tm Sc Pd
6 2 6
Direct
0.175 0.825 0.000 Tm
0.256 0.744 0.500 Tm
0.347 0.347 0.131 Tm
0.653 0.653 0.869 Tm
0.744 0.256 0.500 Tm
0.825 0.175 0.000 Tm
0.260 0.260 0.617 Sc
0.740 0.740 0.383 Sc
0.027 0.494 0.781 Pd
0.061 0.061 0.311 Pd
0.494 0.027 0.781 Pd
0.506 0.973 0.219 Pd
0.939 0.939 0.689 Pd
0.973 0.506 0.219 Pd
```

Summary:
Energy relative to the elements in meV/atom: -720

***

no.,size of the total moment (μB per cell)
1,0.001
2,0.000